This record from Alexandria via LeMat-Bulk describes a relaxed structure of CeSc2Te3. The functional is GGA-PBE.

The calculation puts the uncorrected formation energy at -1100 meV/atom. For the density of states at the Fermi level, the calculation gives 1.729 states/eV/atom.

The space group is Cmcm (No. 63) and the conventional cell measures 4.2798, 14.7025 and 10.6900 Å, with angles of 90.00, 90.00 and 90.00 degrees. The asymmetric unit holds Ce at (0.0000, 0.2219, 0.2500), Sc at (0.0000, 0.0000, 0.0000), Sc at (0.0000, 0.4904, 0.7500), Te at (0.0000, 0.1136, 0.7500) and Te at (0.0000, 0.3599, 0.5509).

This record from Alexandria via LeMat-Bulk describes a relaxed structure of LaPr2AuN. The functional is GGA-PBE.

The calculation puts the uncorrected formation energy at -857 meV/atom. For the density of states at the Fermi level, the calculation gives 0.862 states/eV/atom.

The space group is I4/mcm (No. 140) and the conventional cell measures 7.0533, 7.0533 and 10.1517 Å, with angles of 90.00, 90.00 and 90.00 degrees. The asymmetric unit holds La at (0.0000, 0.0000, 0.2500), Pr at (0.1837, 0.3163, 0.0000), Au at (0.0000, 0.5000, 0.2500) and N at (0.0000, 0.0000, 0.0000).